Record 1
# CrFeTc | Alexandria via LeMat-Bulk | PBE | relaxed
# excess energy over the best structure of this formula in the dataset = 0.147 eV/atom
data_CrFeTc
_chemical_formula_sum 'Cr2 Fe2 Tc2'
_symmetry_space_group_name_H-M 'P 1'
_symmetry_Int_Tables_number 1
_cell_length_a 2.5912
_cell_length_b 4.7915
_cell_length_c 6.2065
_cell_angle_alpha 78.88
_cell_angle_beta 82.30
_cell_angle_gamma 79.15
loop_
_symmetry_equiv_pos_as_xyz
'x,y,z'
loop_
_atom_site_label
_atom_site_type_symbol
_atom_site_fract_x
_atom_site_fract_y
_atom_site_fract_z
Cr1 Cr 0.0000 0.0000 0.0000
Cr2 Cr 0.3525 0.3655 0.6740
Fe1 Fe 0.6818 0.8257 0.7016
Fe2 Fe 0.8602 0.6494 0.3581
Tc1 Tc 0.1788 0.1056 0.3797
Tc2 Tc 0.5462 0.4839 0.0412

Record 2
# Cr2FeTc2 | Alexandria via LeMat-Bulk | PBE | relaxed
# excess energy over the best structure of this formula in the dataset = 0.000 eV/atom
data_Cr2FeTc2
_chemical_formula_sum 'Cr4 Fe2 Tc4'
_symmetry_space_group_name_H-M 'P 4/m b m'
_symmetry_Int_Tables_number 127
_symmetry_space_group_name_Hall '-P 4 2ab'
_cell_length_a 6.7822
_cell_length_b 6.7822
_cell_length_c 2.8758
_cell_angle_alpha 90.00
_cell_angle_beta 90.00
_cell_angle_gamma 90.00
loop_
_atom_site_label
_atom_site_type_symbol
_atom_site_fract_x
_atom_site_fract_y
_atom_site_fract_z
Cr1 Cr 0.1403 0.3597 0.0000
Fe1 Fe 0.0000 0.0000 0.0000
Tc1 Tc 0.1644 0.6644 0.5000

Record 3
# CrFeTc | Alexandria via LeMat-Bulk | PBE | relaxed
# excess energy over the best structure of this formula in the dataset = 0.186 eV/atom
data_CrFeTc
_chemical_formula_sum 'Cr2 Fe2 Tc2'
_symmetry_space_group_name_H-M 'P 3 m 1'
_symmetry_Int_Tables_number 156
_cell_length_a 4.0946
_cell_length_b 4.0946
_cell_length_c 5.1160
_cell_angle_alpha 90.00
_cell_angle_beta 90.00
_cell_angle_gamma 120.00
loop_
_symmetry_equiv_pos_as_xyz
'x,y,z'
'-y,x-y,z'
'-x+y,-x,z'
'-y,-x,z'
'-x+y,y,z'
'x,x-y,z'
loop_
_atom_site_label
_atom_site_type_symbol
_atom_site_fract_x
_atom_site_fract_y
_atom_site_fract_z
Cr1 Cr 0.0000 0.0000 0.0000
Cr2 Cr 0.3333 0.6667 0.2452
Fe1 Fe 0.6667 0.3333 0.0103
Fe2 Fe 0.6667 0.3333 0.4927
Tc1 Tc 0.0000 0.0000 0.4848
Tc2 Tc 0.3333 0.6667 0.7553

Record 4
# CrFeTc | Alexandria via LeMat-Bulk | PBE | relaxed
# excess energy over the best structure of this formula in the dataset = 0.143 eV/atom
data_CrFeTc
_chemical_formula_sum 'Cr2 Fe2 Tc2'
_symmetry_space_group_name_H-M 'P 1 m 1'
_symmetry_Int_Tables_number 6
_cell_length_a 4.4714
_cell_length_b 2.6249
_cell_length_c 6.4623
_cell_angle_alpha 90.00
_cell_angle_beta 102.69
_cell_angle_gamma 90.00
loop_
_symmetry_equiv_pos_as_xyz
'x,y,z'
'x,-y,z'
loop_
_atom_site_label
_atom_site_type_symbol
_atom_site_fract_x
_atom_site_fract_y
_atom_site_fract_z
Cr1 Cr 0.0000 0.0000 0.0000
Cr2 Cr 0.2853 0.5000 0.3295
Fe1 Fe 0.5167 0.5000 0.0136
Fe2 Fe 0.7540 0.5000 0.6900
Tc1 Tc 0.2589 0.0000 0.6834
Tc2 Tc 0.7875 0.0000 0.3531

Record 5
CrFeTc2 | PBE | relaxed

Cell and atoms, written as CIF:
```
data_CrFeTc2
_chemical_formula_sum 'Cr1 Fe1 Tc2'
_symmetry_space_group_name_H-M 'P 4 m m'
_symmetry_Int_Tables_number 99
_cell_length_a 2.9957
_cell_length_b 2.9957
_cell_length_c 5.8700
_cell_angle_alpha 90.00
_cell_angle_beta 90.00
_cell_angle_gamma 90.00
loop_
_symmetry_equiv_pos_as_xyz
'x,y,z'
'-y,x,z'
'-x,-y,z'
'y,-x,z'
'-x,y,z'
'y,x,z'
'x,-y,z'
'-y,-x,z'
loop_
_atom_site_label
_atom_site_type_symbol
_atom_site_fract_x
_atom_site_fract_y
_atom_site_fract_z
Cr1 Cr 0.0000 0.0000 0.0000
Fe1 Fe 0.5000 0.5000 0.2309
Tc1 Tc 0.0000 0.0000 0.4691
Tc2 Tc 0.5000 0.5000 0.7624
```

Record 6
# CrFeTc | Alexandria via LeMat-Bulk | PBE | relaxed
# excess energy over the best structure of this formula in the dataset = 0.235 eV/atom
data_CrFeTc
_chemical_formula_sum 'Cr1 Fe1 Tc1'
_symmetry_space_group_name_H-M 'P 3 m 1'
_symmetry_Int_Tables_number 156
_cell_length_a 2.6233
_cell_length_b 2.6233
_cell_length_c 6.3457
_cell_angle_alpha 90.00
_cell_angle_beta 90.00
_cell_angle_gamma 120.00
loop_
_symmetry_equiv_pos_as_xyz
'x,y,z'
'-y,x-y,z'
'-x+y,-x,z'
'-y,-x,z'
'-x+y,y,z'
'x,x-y,z'
loop_
_atom_site_label
_atom_site_type_symbol
_atom_site_fract_x
_atom_site_fract_y
_atom_site_fract_z
Cr1 Cr 0.0000 0.0000 0.0000
Fe1 Fe 0.6667 0.3333 0.3084
Tc1 Tc 0.3333 0.6667 0.6502

| no. | total moment (μB/f.u.) | calculated formation energy (eV per atom) |
| --- | --- | --- |
| 1 | 0.04 | 0.14 |
| 2 | 0.00 | 0.42 |
| 3 | 0.16 | 0.18 |
| 4 | 0.49 | 0.14 |
| 5 | 2.96 | 0.12 |
| 6 | 1.02 | 0.23 |